## Al2Zn (PBE-GGA)

Data for a relaxed structure of Al2Zn.

The structure in CIF format:
```
data_Al2Zn
_space_group_name_H-M_alt 'C 1 m 1'
_space_group_IT_number 8
_cell_length_a 10.084
_cell_length_b 2.942
_cell_length_c 6.949
_cell_angle_alpha 90.00
_cell_angle_beta 107.49
_cell_angle_gamma 90.00
loop_
_space_group_symop_operation_xyz
'x,y,z'
'x,-y,z'
'x+1/2,y+1/2,z'
'x+1/2,-y+1/2,z'
loop_
_atom_site_label
_atom_site_fract_x
_atom_site_fract_y
_atom_site_fract_z
Al1 0.000 0.000 0.000
Al2 0.047 0.000 0.602
Al3 0.169 0.500 0.333
Al4 0.330 0.000 0.670
Zn1 0.218 0.500 0.939
Zn2 0.387 0.000 0.268
```

## Properties
Formation energy (eV per atom): 0.0473
E (eV per atom): -2.87

## Al4Zn5 (PBE-GGA)

Data for a relaxed structure of Al4Zn5.

The structure in CIF format:
```
data_Al4Zn5
_space_group_name_H-M_alt 'I 4/m'
_space_group_IT_number 87
_space_group_name_Hall '-I 4'
_cell_length_a 8.970
_cell_length_b 8.970
_cell_length_c 4.082
_cell_angle_alpha 90.00
_cell_angle_beta 90.00
_cell_angle_gamma 90.00
loop_
_atom_site_label
_atom_site_fract_x
_atom_site_fract_y
_atom_site_fract_z
Al1 0.189 0.189 0.000
Zn1 0.000 0.000 0.000
Zn2 0.000 0.342 0.500
```

## Properties
Energy relative to the lowest polymorph listed for this composition (meV per atom): 178
Formation energy (eV per atom): 0.2056
E (eV per atom): -2.17

## Al5Zn (PBE-GGA)

Data for a relaxed structure of Al5Zn.

The structure in CIF format:
```
data_Al5Zn
_space_group_name_H-M_alt 'P 4/m m m'
_space_group_IT_number 123
_space_group_name_Hall '-P 4 2'
_cell_length_a 2.832
_cell_length_b 2.832
_cell_length_c 12.196
_cell_angle_alpha 90.00
_cell_angle_beta 90.00
_cell_angle_gamma 90.00
loop_
_atom_site_label
_atom_site_fract_x
_atom_site_fract_y
_atom_site_fract_z
Al1 0.000 0.000 0.000
Al2 0.000 0.000 0.337
Al3 0.500 0.500 0.167
Zn1 0.500 0.500 0.500
```

## Properties
Energy relative to the lowest polymorph listed for this composition (meV per atom): 0
Formation energy (eV per atom): 0.0067
E (eV per atom): -3.32

## Al2Zn (PBE-GGA)

Data for a relaxed structure of Al2Zn.

The structure in CIF format:
```
data_Al2Zn
_space_group_name_H-M_alt 'I 4/m m m'
_space_group_IT_number 139
_space_group_name_Hall '-I 4 2'
_cell_length_a 2.842
_cell_length_b 2.842
_cell_length_c 11.938
_cell_angle_alpha 90.00
_cell_angle_beta 90.00
_cell_angle_gamma 90.00
loop_
_atom_site_label
_atom_site_fract_x
_atom_site_fract_y
_atom_site_fract_z
Al1 0.000 0.000 0.165
Zn1 0.000 0.000 0.500
```

## Properties
Formation energy (eV per atom): 0.0144
E (eV per atom): -2.91

## Al3Zn (PBE-GGA)

Data for a relaxed structure of Al3Zn.

The structure in CIF format:
```
data_Al3Zn
_space_group_name_H-M_alt 'P m m 2'
_space_group_IT_number 25
_cell_length_a 2.768
_cell_length_b 4.806
_cell_length_c 4.960
_cell_angle_alpha 90.00
_cell_angle_beta 90.00
_cell_angle_gamma 90.00
loop_
_space_group_symop_operation_xyz
'x,y,z'
'-x,-y,z'
'-x,y,z'
'x,-y,z'
loop_
_atom_site_label
_atom_site_fract_x
_atom_site_fract_y
_atom_site_fract_z
Al1 0.000 0.000 0.000
Al2 0.000 0.500 0.337
Al3 0.500 0.000 0.500
Zn1 0.500 0.500 0.839
```

## Properties
Formation energy (eV per atom): 0.0597
E (eV per atom): -3.07

## Al8Zn3 (PBE-GGA)

Data for a relaxed structure of Al8Zn3.

The structure in CIF format:
```
data_Al8Zn3
_space_group_name_H-M_alt 'P m -3 m'
_space_group_IT_number 221
_space_group_name_Hall '-P 4 2 3'
_cell_length_a 5.893
_cell_length_b 5.893
_cell_length_c 5.893
_cell_angle_alpha 90.00
_cell_angle_beta 90.00
_cell_angle_gamma 90.00
loop_
_atom_site_label
_atom_site_fract_x
_atom_site_fract_y
_atom_site_fract_z
Al1 0.235 0.235 0.235
Zn1 0.000 0.500 0.500
```

## Properties
Formation energy (eV per atom): 0.1377
E (eV per atom): -2.93

## Al3Zn (PBE-GGA)

Data for a relaxed structure of Al3Zn.

The structure in CIF format:
```
data_Al3Zn
_space_group_name_H-M_alt 'R -3 m'
_space_group_IT_number 166
_space_group_name_Hall '-R 3 2"'
_cell_length_a 2.8583
_cell_length_b 2.8583
_cell_length_c 27.5010
_cell_angle_alpha 90.00
_cell_angle_beta 90.00
_cell_angle_gamma 120.00
loop_
_atom_site_label
_atom_site_fract_x
_atom_site_fract_y
_atom_site_fract_z
Al1 0.0000 0.0000 0.0000
Al2 0.0000 0.0000 0.2488
Zn1 0.0000 0.0000 0.5000
```

## Properties
Formation energy (eV per atom): -0.0131
E (eV per atom): -3.14

## Al6Zn (PBE-GGA)

Data for a relaxed structure of Al6Zn.

The structure in CIF format:
```
data_Al6Zn
_space_group_name_H-M_alt 'I m -3 m'
_space_group_IT_number 229
_space_group_name_Hall '-I 4 2 3'
_cell_length_a 7.381
_cell_length_b 7.381
_cell_length_c 7.381
_cell_angle_alpha 90.00
_cell_angle_beta 90.00
_cell_angle_gamma 90.00
loop_
_atom_site_label
_atom_site_fract_x
_atom_site_fract_y
_atom_site_fract_z
Al1 0.000 0.250 0.500
Zn1 0.000 0.000 0.000
```

## Properties
Energy relative to the lowest polymorph listed for this composition (meV per atom): 608
Formation energy (eV per atom): 0.7736
E (eV per atom): -2.62

## AlZn6 (PBE-GGA)

Data for a relaxed structure of AlZn6.

The structure in CIF format:
```
data_AlZn6
_space_group_name_H-M_alt 'I m -3 m'
_space_group_IT_number 229
_space_group_name_Hall '-I 4 2 3'
_cell_length_a 6.956
_cell_length_b 6.956
_cell_length_c 6.956
_cell_angle_alpha 90.00
_cell_angle_beta 90.00
_cell_angle_gamma 90.00
loop_
_atom_site_label
_atom_site_fract_x
_atom_site_fract_y
_atom_site_fract_z
Al1 0.000 0.000 0.000
Zn1 0.000 0.250 0.500
```

## Properties
Energy relative to the lowest polymorph listed for this composition (meV per atom): 485
Formation energy (eV per atom): 0.5833
E (eV per atom): -1.04

## Al2Zn (PBE-GGA)

Data for a relaxed structure of Al2Zn.

The structure in CIF format:
```
data_Al2Zn
_space_group_name_H-M_alt 'I m m m'
_space_group_IT_number 71
_space_group_name_Hall '-I 2 2'
_cell_length_a 2.796
_cell_length_b 4.052
_cell_length_c 8.589
_cell_angle_alpha 90.00
_cell_angle_beta 90.00
_cell_angle_gamma 90.00
loop_
_atom_site_label
_atom_site_fract_x
_atom_site_fract_y
_atom_site_fract_z
Al1 0.000 0.000 0.166
Zn1 0.000 0.000 0.500
```

## Properties
Formation energy (eV per atom): 0.0240
E (eV per atom): -2.90

## Al5Zn (PBE-GGA)

Data for a relaxed structure of Al5Zn.

The structure in CIF format:
```
data_Al5Zn
_space_group_name_H-M_alt 'C m m m'
_space_group_IT_number 65
_space_group_name_Hall '-C 2 2'
_cell_length_a 4.011
_cell_length_b 11.801
_cell_length_c 4.142
_cell_angle_alpha 90.00
_cell_angle_beta 90.00
_cell_angle_gamma 90.00
loop_
_atom_site_label
_atom_site_fract_x
_atom_site_fract_y
_atom_site_fract_z
Al1 0.000 0.000 0.000
Al2 0.000 0.165 0.500
Al3 0.000 0.333 0.000
Zn1 0.000 0.500 0.500
```

## Properties
Energy relative to the lowest polymorph listed for this composition (meV per atom): 0
Formation energy (eV per atom): 0.0071
E (eV per atom): -3.32

## Al3Zn (PBE-GGA)

Data for a relaxed structure of Al3Zn.

The structure in CIF format:
```
data_Al3Zn
_space_group_name_H-M_alt 'C m m m'
_space_group_IT_number 65
_space_group_name_Hall '-C 2 2'
_cell_length_a 5.712
_cell_length_b 8.059
_cell_length_c 2.821
_cell_angle_alpha 90.00
_cell_angle_beta 90.00
_cell_angle_gamma 90.00
loop_
_atom_site_label
_atom_site_fract_x
_atom_site_fract_y
_atom_site_fract_z
Al1 0.000 0.000 0.000
Al2 0.250 0.250 0.500
Zn1 0.000 0.500 0.000
```

## Properties
Formation energy (eV per atom): 0.0064
E (eV per atom): -3.12

## Al2Zn (PBE-GGA)

Data for a relaxed structure of Al2Zn.

The structure in CIF format:
```
data_Al2Zn
_space_group_name_H-M_alt 'F m -3 m'
_space_group_IT_number 225
_space_group_name_Hall '-F 4 2 3'
_cell_length_a 6.002
_cell_length_b 6.002
_cell_length_c 6.002
_cell_angle_alpha 90.00
_cell_angle_beta 90.00
_cell_angle_gamma 90.00
loop_
_atom_site_label
_atom_site_fract_x
_atom_site_fract_y
_atom_site_fract_z
Al1 0.250 0.250 0.250
Zn1 0.000 0.000 0.000
```

## Properties
Formation energy (eV per atom): 0.0565
E (eV per atom): -2.86

## ZrAlZn2 (PBE-GGA)

Data for a relaxed structure of ZrAlZn2.

The structure in CIF format:
```
data_ZrAlZn2
_space_group_name_H-M_alt 'P 1 2/m 1'
_space_group_IT_number 10
_cell_length_a 5.144
_cell_length_b 2.869
_cell_length_c 5.193
_cell_angle_alpha 90.00
_cell_angle_beta 111.78
_cell_angle_gamma 90.00
loop_
_space_group_symop_operation_xyz
'x,y,z'
'-x,-y,-z'
'-x,y,-z'
'x,-y,z'
loop_
_atom_site_label
_atom_site_fract_x
_atom_site_fract_y
_atom_site_fract_z
Zr1 0.000 0.000 0.000
Al1 0.500 0.500 0.000
Zn1 0.000 0.500 0.500
Zn2 0.500 0.000 0.500
```

## Properties
Formation energy (eV per atom): -0.1652
E (eV per atom): -3.87

## Zr2AlZn2 (PBE-GGA)

Data for a relaxed structure of Zr2AlZn2.

The structure in CIF format:
```
data_Zr2AlZn2
_space_group_name_H-M_alt 'P 4/m b m'
_space_group_IT_number 127
_space_group_name_Hall '-P 4 2ab'
_cell_length_a 6.664
_cell_length_b 6.664
_cell_length_c 4.146
_cell_angle_alpha 90.00
_cell_angle_beta 90.00
_cell_angle_gamma 90.00
loop_
_atom_site_label
_atom_site_fract_x
_atom_site_fract_y
_atom_site_fract_z
Zr1 0.169 0.331 0.000
Al1 0.000 0.000 0.500
Zn1 0.131 0.631 0.500
```

## Properties
Formation energy (eV per atom): -0.3394
E (eV per atom): -5.02

## Zr12Al3Zn (PBE-GGA)

Data for a relaxed structure of Zr12Al3Zn.

The structure in CIF format:
```
data_Zr12Al3Zn
_space_group_name_H-M_alt 'P 4/m m m'
_space_group_IT_number 123
_space_group_name_Hall '-P 4 2'
_cell_length_a 4.382
_cell_length_b 4.382
_cell_length_c 17.490
_cell_angle_alpha 90.00
_cell_angle_beta 90.00
_cell_angle_gamma 90.00
loop_
_atom_site_label
_atom_site_fract_x
_atom_site_fract_y
_atom_site_fract_z
Zr1 0.000 0.000 0.000
Zr2 0.000 0.000 0.249
Zr3 0.000 0.000 0.500
Zr4 0.000 0.500 0.125
Zr5 0.000 0.500 0.375
Al1 0.500 0.500 0.248
Al2 0.500 0.500 0.500
Zn1 0.500 0.500 0.000
```

## Properties
Formation energy (eV per atom): -0.2573
E (eV per atom): -7.45

## ZrAl2Zn2 (PBE-GGA)

Data for a relaxed structure of ZrAl2Zn2.

The structure in CIF format:
```
data_ZrAl2Zn2
_space_group_name_H-M_alt 'P 4/m b m'
_space_group_IT_number 127
_space_group_name_Hall '-P 4 2ab'
_cell_length_a 7.484
_cell_length_b 7.484
_cell_length_c 3.027
_cell_angle_alpha 90.00
_cell_angle_beta 90.00
_cell_angle_gamma 90.00
loop_
_atom_site_label
_atom_site_fract_x
_atom_site_fract_y
_atom_site_fract_z
Zr1 0.000 0.000 0.000
Al1 0.175 0.325 0.500
Zn1 0.122 0.622 0.000
```

## Properties
Formation energy (eV per atom): -0.1694
E (eV per atom): -3.89

## ZrAlZn2 (PBE-GGA)

Data for a relaxed structure of ZrAlZn2.

The structure in CIF format:
```
data_ZrAlZn2
_space_group_name_H-M_alt 'I -4 m 2'
_space_group_IT_number 119
_space_group_name_Hall 'I -4 -2'
_cell_length_a 4.071
_cell_length_b 4.071
_cell_length_c 8.445
_cell_angle_alpha 90.00
_cell_angle_beta 90.00
_cell_angle_gamma 90.00
loop_
_atom_site_label
_atom_site_fract_x
_atom_site_fract_y
_atom_site_fract_z
Zr1 0.000 0.000 0.000
Al1 0.000 0.500 0.750
Zn1 0.000 0.000 0.500
Zn2 0.000 0.500 0.250
```

## Properties
Formation energy (eV per atom): -0.1432
E (eV per atom): -3.85

## ZrAlZn2 (PBE-GGA)

Data for a relaxed structure of ZrAlZn2.

The structure in CIF format:
```
data_ZrAlZn2
_space_group_name_H-M_alt 'P m m m'
_space_group_IT_number 47
_cell_length_a 3.002
_cell_length_b 4.414
_cell_length_c 5.383
_cell_angle_alpha 90.00
_cell_angle_beta 90.00
_cell_angle_gamma 90.00
loop_
_space_group_symop_operation_xyz
'x,y,z'
'-x,-y,-z'
'-x,-y,z'
'x,y,-z'
'x,-y,-z'
'-x,y,z'
'-x,y,-z'
'x,-y,z'
loop_
_atom_site_label
_atom_site_fract_x
_atom_site_fract_y
_atom_site_fract_z
Zr1 0.000 0.000 0.000
Al1 0.500 0.000 0.500
Zn1 0.500 0.500 0.241
```

## Properties
Formation energy (eV per atom): -0.2006
E (eV per atom): -3.91

## ZrAlZn2 (PBE-GGA)

Data for a relaxed structure of ZrAlZn2.

The structure in CIF format:
```
data_ZrAlZn2
_space_group_name_H-M_alt 'R 3 m'
_space_group_IT_number 160
_space_group_name_Hall 'R 3 -2"'
_cell_length_a 2.9634
_cell_length_b 2.9634
_cell_length_c 28.0836
_cell_angle_alpha 90.00
_cell_angle_beta 90.00
_cell_angle_gamma 120.00
loop_
_atom_site_label
_atom_site_fract_x
_atom_site_fract_y
_atom_site_fract_z
Zr1 0.0000 0.0000 0.0000
Al1 0.0000 0.0000 0.2435
Zn1 0.0000 0.0000 0.4994
Zn2 0.0000 0.0000 0.7556
```

## Properties
Formation energy (eV per atom): -0.0266
E (eV per atom): -3.74